A) Computed, not measured: a relaxed structure of InAgBr at the PBE level of DFT.

Lattice parameters (Å, degrees): 3.774 3.702 12.069 90.00 90.00 90.00
Space group Amm2 (No. 38)
Asymmetric unit:
In 0.000 0.000 0.000 [2 per cell]
Ag 0.500 0.000 0.404 [2 per cell]
Br 0.000 0.000 0.224 [2 per cell]

Calculated values
Mass density, Mg/m³: 6.0

---

B) Computed, not measured: a relaxed structure of InAgBr at the PBE level of DFT.

Lattice parameters (Å, degrees): 3.590 3.590 11.695 90.00 90.00 90.00
Space group I4mm (No. 107)
Asymmetric unit:
In 0.000 0.000 0.000 [2 per cell]
Ag 0.000 0.000 0.637 [2 per cell]
Br 0.000 0.000 0.287 [2 per cell]

Calculated values
Mass density, Mg/m³: 6.7

---

Referenced to the most stable arrangement, the calculated values in eV/atom are A) 0.000; B) 0.098.

---

A) Computed, not measured: a relaxed structure of InAgBr at the PBE level of DFT.

Lattice parameters (Å, degrees): 6.937 4.022 5.743 90.00 90.25 90.00
Space group Cm (No. 8)
Asymmetric unit:
In 0.000 0.000 0.000 [2 per cell]
Ag 0.165 0.500 0.716 [2 per cell]
Br 0.329 0.000 0.398 [2 per cell]

Calculated values
Mass density, Mg/m³: 6.3

---

B) Computed, not measured: a relaxed structure of InAgBr at the PBE level of DFT.

Lattice parameters (Å, degrees): 4.637 5.550 11.824 90.00 90.00 90.00
Space group Fmm2 (No. 42)
Asymmetric unit:
In 0.000 0.000 0.000 [4 per cell]
Ag 0.000 0.000 0.356 [4 per cell]
Br 0.000 0.000 0.708 [4 per cell]

Calculated values
Mass density, Mg/m³: 6.6

---

Referenced to the most stable arrangement, the calculated values in eV/atom are A) 0.000; B) 0.073.

---

A) Computed, not measured: a relaxed structure of InAgBr at the PBE level of DFT.

Lattice parameters (Å, degrees): 4.231 6.604 6.672 66.14 71.54 89.97
Space group P-1 (No. 2)
Asymmetric unit:
In 0.022 0.285 0.455 [2 per cell]
Ag 0.384 0.948 0.733 [2 per cell]
Br 0.279 0.274 0.940 [2 per cell]

Calculated values
Mass density, Mg/m³: 6.3

---

B) Computed, not measured: a relaxed structure of InAgBr at the PBE level of DFT.

Lattice parameters (Å, degrees): 12.418 5.988 4.797 90.00 112.55 90.00
Space group C2 (No. 5)
Asymmetric unit:
In 0.184 0.000 0.434 [4 per cell]
Ag 0.250 0.250 0.973 [4 per cell]
Br 0.000 0.260 0.000 [2 per cell]
Br 0.000 0.739 0.500 [2 per cell]

Calculated values
Mass density, Mg/m³: 6.1

---

Referenced to the most stable arrangement, the calculated values in eV/atom are A) 0.000; B) 0.018.

---

A) Computed, not measured: a relaxed structure of InAgBr at the PBE level of DFT.

Lattice parameters (Å, degrees): 11.631 4.001 6.927 90.00 90.00 90.00
Space group Amm2 (No. 38)
Asymmetric unit:
In 0.150 0.000 0.000 [4 per cell]
Ag 0.000 0.000 0.667 [2 per cell]
Ag 0.500 0.000 0.669 [2 per cell]
Br 0.344 0.000 0.336 [4 per cell]

Calculated values
Mass density, Mg/m³: 6.2

---

B) Computed, not measured: a relaxed structure of InAgBr at the PBE level of DFT.

Lattice parameters (Å, degrees): 12.358 3.749 3.638 90.00 106.61 90.00
Space group Cm (No. 8)
Asymmetric unit:
In 0.000 0.000 0.000 [2 per cell]
Ag 0.111 0.500 0.608 [2 per cell]
Br 0.301 0.500 0.283 [2 per cell]

Calculated values
Mass density, Mg/m³: 6.2

---

Referenced to the most stable arrangement, the calculated values in eV/atom are A) 0.023; B) 0.000.

---

A) Computed, not measured: a relaxed structure of InAg2Br5 at the PBE level of DFT.

Lattice parameters (Å, degrees): 5.795 13.821 13.122 90.00 90.00 90.00
Space group Cmcm (No. 63)
Asymmetric unit:
In 0.000 0.207 0.250 [4 per cell]
Ag 0.000 0.156 0.568 [8 per cell]
Br 0.000 0.065 0.114 [8 per cell]
Br 0.000 0.264 0.750 [4 per cell]
Br 0.000 0.336 0.098 [8 per cell]

Calculated values
Mass density, Mg/m³: 4.6

---

B) Computed, not measured: a relaxed structure of InAg2Br5 at the PBE level of DFT.

Lattice parameters (Å, degrees): 12.678 8.563 6.779 90.00 122.02 90.00
Space group Cm (No. 8)
Asymmetric unit:
In 0.000 0.000 0.000 [2 per cell]
Ag 0.248 0.319 0.299 [4 per cell]
Br 0.033 0.274 0.880 [4 per cell]
Br 0.244 0.000 0.362 [2 per cell]
Br 0.253 0.500 0.638 [2 per cell]
Br 0.435 0.500 0.312 [2 per cell]

Calculated values
Mass density, Mg/m³: 3.9

---

Referenced to the most stable arrangement, the calculated values in eV/atom are A) 0.022; B) 0.000.

---

A) Computed, not measured: a relaxed structure of InAg3Br6 at the PBE level of DFT.

Lattice parameters (Å, degrees): 7.310 7.070 13.023 90.00 122.25 90.00
Space group P2_1/c (No. 14)
Asymmetric unit:
In 0.000 0.000 0.000 [2 per cell]
Ag 0.288 0.015 0.760 [4 per cell]
Ag 0.500 0.000 0.500 [2 per cell]
Br 0.069 0.181 0.416 [4 per cell]
Br 0.273 0.674 0.443 [4 per cell]
Br 0.342 0.105 0.232 [4 per cell]

Calculated values
Mass density, Mg/m³: 5.4

---

B) Computed, not measured: a relaxed structure of InAg3Br6 at the PBE level of DFT.

Lattice parameters (Å, degrees): 11.163 16.581 7.733 90.00 90.00 90.00
Space group Cmc2_1 (No. 36)
Asymmetric unit:
In 0.000 0.204 0.000 [4 per cell]
Ag 0.000 0.486 0.297 [4 per cell]
Ag 0.195 0.060 0.365 [8 per cell]
Br 0.000 0.077 0.812 [4 per cell]
Br 0.000 0.154 0.328 [4 per cell]
Br 0.172 0.462 0.561 [8 per cell]
Br 0.192 0.283 0.979 [8 per cell]

Calculated values
Mass density, Mg/m³: 4.3

---

Referenced to the most stable arrangement, the calculated values in eV/atom are A) 0.000; B) 0.009.

---

A) Computed, not measured: a relaxed structure of In3AgBr at the PBE level of DFT.

Lattice parameters (Å, degrees): 5.938 5.938 5.938 90.00 90.00 90.00
Space group Pm-3m (No. 221)
Asymmetric unit:
In 0.000 0.000 0.500 [3 per cell]
Ag 0.500 0.500 0.500 [1 per cell]
Br 0.000 0.000 0.000 [1 per cell]

Calculated values
Mass density, Mg/m³: 4.2

---

B) Computed, not measured: a relaxed structure of In3AgBr at the PBE level of DFT.

Lattice parameters (Å, degrees): 5.433 5.433 5.433 90.00 90.00 90.00
Space group Pm-3m (No. 221)
Asymmetric unit:
In 0.000 0.000 0.500 [3 per cell]
Ag 0.000 0.000 0.000 [1 per cell]
Br 0.500 0.500 0.500 [1 per cell]

Calculated values
Mass density, Mg/m³: 5.5

---

Referenced to the most stable arrangement, the calculated values in eV/atom are A) 0.483; B) 0.000.

---

A) Computed, not measured: a relaxed structure of AgIr3Br at the PBE level of DFT.

Lattice parameters (Å, degrees): 4.615 4.615 4.615 90.00 90.00 90.00
Space group Pm-3m (No. 221)
Asymmetric unit:
Ag 0.000 0.000 0.000 [1 per cell]
Ir 0.000 0.500 0.500 [3 per cell]
Br 0.500 0.500 0.500 [1 per cell]

Calculated values
Mass density, Mg/m³: 12.9

---

B) Computed, not measured: a relaxed structure of AgIr3Br at the PBE level of DFT.

Lattice parameters (Å, degrees): 4.926 4.926 4.926 90.00 90.00 90.00
Space group Pm-3m (No. 221)
Asymmetric unit:
Ag 0.000 0.000 0.000 [1 per cell]
Ir 0.000 0.000 0.500 [3 per cell]
Br 0.500 0.500 0.500 [1 per cell]

Calculated values
Mass density, Mg/m³: 10.6

---

Referenced to the most stable arrangement, the calculated values in eV/atom are A) 0.000; B) 0.734.